5
Lattice="4.851 0.000 0.000 0.000 4.851 0.000 0.000 0.000 4.604" Properties=species:S:1:pos:R:3 comment="VAgOsAu2 PBE optimized geometry" delta_e_f_ev_per_fu=10.6 pbc="T T T"
V 0.000 0.000 0.000
Ag 0.000 0.000 2.302
Os 2.426 2.426 0.000
Au 0.000 2.426 2.302
Au 2.426 0.000 2.302

=====

5
Lattice="4.988 0.000 0.000 0.000 4.988 0.000 0.000 0.000 5.028" Properties=species:S:1:pos:R:3 comment="YAg2OsAu PBE optimized geometry" delta_e_f_ev_per_fu=4.6 pbc="T T T"
Y 0.000 0.000 0.000
Ag 0.000 2.494 2.514
Ag 2.494 0.000 2.514
Os 2.494 2.494 0.000
Au 2.494 2.494 2.514

=====

5
Lattice="5.435 0.000 0.000 0.000 5.435 0.000 0.000 0.000 4.859" Properties=species:S:1:pos:R:3 comment="Y2AgOsAu PBE optimized geometry" delta_e_f_ev_per_fu=3.6 pbc="T T T"
Y 0.000 2.717 0.000
Y 2.717 0.000 0.000
Ag 0.000 0.000 2.429
Os 2.717 2.717 2.429
Au 2.717 2.717 0.000

=====

12
Lattice="3.109 0.000 0.000 -1.554 2.692 0.000 0.000 0.000 25.358" Properties=species:S:1:pos:R:3 comment="AgPAu2 PBE optimized geometry" delta_e_f_ev_per_fu=0.8 pbc="T T T"
Ag 0.000 0.000 0.000
Ag 0.000 1.795 16.905
Ag 1.554 0.897 8.453
P 0.000 0.000 12.679
P 0.000 1.795 4.226
P 1.554 0.897 21.131
Au 0.000 0.000 6.168
Au 0.000 0.000 19.190
Au 0.000 1.795 10.738
Au 0.000 1.795 23.073
Au 1.554 0.897 2.285
Au 1.554 0.897 14.620

=====

6
Lattice="0.000 3.840 3.840 3.840 0.000 3.840 3.840 3.840 0.000" Properties=species:S:1:pos:R:3 comment="Ag4PAu PBE optimized geometry" delta_e_f_ev_per_fu=2.5 pbc="T T T"
Ag 0.960 0.960 0.960
Ag 2.880 2.880 0.960
Ag 2.880 0.960 2.880
Ag 0.960 2.880 2.880
P 3.840 3.840 3.840
Au 5.760 5.760 5.760

=====

16
Lattice="6.558 0.000 0.000 0.000 6.558 0.000 0.000 0.000 6.558" Properties=species:S:1:pos:R:3 comment="Ag2PAu PBE optimized geometry" delta_e_f_ev_per_fu=1.2 pbc="T T T"
Ag 0.000 0.000 0.000
Ag 0.000 3.279 3.279
Ag 1.639 1.639 1.639
Ag 1.639 4.918 4.918
Ag 3.279 0.000 3.279
Ag 3.279 3.279 0.000
Ag 4.918 1.639 4.918
Ag 4.918 4.918 1.639
P 1.639 1.639 4.918
P 1.639 4.918 1.639
P 4.918 1.639 1.639
P 4.918 4.918 4.918
Au 0.000 0.000 3.279
Au 0.000 3.279 0.000
Au 3.279 0.000 0.000
Au 3.279 3.279 3.279